Entry 1:
Crystalline HoPaAlMo at its relaxed geometry, computed with GGA-PBE.

Summary:
ΔE_f: 0.3 eV per formula unit
crystal system: cubic
DOS(E_F): 17.8 states/eV/cell
spin magnetization: 0.00 μB/cell

Cell and atoms, written as CIF:
```
data_HoPaAlMo
_chemical_formula_sum 'Ho4 Pa4 Al4 Mo4'
_cell_length_a 7.055
_cell_length_b 7.055
_cell_length_c 7.055
_cell_angle_alpha 90.00
_cell_angle_beta 90.00
_cell_angle_gamma 90.00
_space_group_name_H-M_alt 'F -4 3 m'
_space_group_IT_number 216
_space_group_name_Hall 'F -4 2 3'
loop_
_atom_site_label
_atom_site_type_symbol
_atom_site_fract_x
_atom_site_fract_y
_atom_site_fract_z
Ho1 Ho 0.000 0.000 0.000
Pa1 Pa 0.000 0.000 0.500
Al1 Al 0.250 0.250 0.750
Mo1 Mo 0.250 0.250 0.250
```

---

Entry 2:
Crystalline Ho2AlN at its relaxed geometry, computed with GGA-PBE.

Summary:
formation energy (no corrections): -590.7 meV per atom
crystal system: trigonal
DOS(E_F): 9.3 states/eV/cell
spin magnetization: 0.00 μB/cell

Cell and atoms, written as CIF:
```
data_Ho2AlN
_chemical_formula_sum 'Ho6 Al3 N3'
_cell_length_a 3.3949
_cell_length_b 3.3949
_cell_length_c 26.2596
_cell_angle_alpha 90.00
_cell_angle_beta 90.00
_cell_angle_gamma 120.00
_space_group_name_H-M_alt 'R -3 m'
_space_group_IT_number 166
_space_group_name_Hall '-R 3 2"'
loop_
_atom_site_label
_atom_site_type_symbol
_atom_site_fract_x
_atom_site_fract_y
_atom_site_fract_z
Ho1 Ho 0.0000 0.0000 0.1164
Al1 Al 0.0000 0.0000 0.0000
N1 N 0.0000 0.0000 0.5000
```

---

Entry 3:
Crystalline HoAlN2 at its relaxed geometry, computed with GGA-PBE.

Summary:
formation energy (no corrections): -915.7 meV per atom
crystal system: trigonal
DOS(E_F): 0.6 states/eV/cell
spin magnetization: 0.00 μB/cell

Cell and atoms, written as CIF:
```
data_HoAlN2
_chemical_formula_sum 'Ho3 Al3 N6'
_cell_length_a 3.6175
_cell_length_b 3.6175
_cell_length_c 17.3658
_cell_angle_alpha 90.00
_cell_angle_beta 90.00
_cell_angle_gamma 120.00
_space_group_name_H-M_alt 'R -3 m'
_space_group_IT_number 166
_space_group_name_Hall '-R 3 2"'
loop_
_atom_site_label
_atom_site_type_symbol
_atom_site_fract_x
_atom_site_fract_y
_atom_site_fract_z
Ho1 Ho 0.0000 0.0000 0.0000
Al1 Al 0.0000 0.0000 0.5000
N1 N 0.0000 0.0000 0.4000
```

---

Entry 4:
Crystalline Ho3Np3AlN8 at its relaxed geometry, computed with GGA-PBE.

Summary:
formation energy (no corrections): -1173.2 meV per atom
crystal system: trigonal
DOS(E_F): 45.3 states/eV/cell
spin magnetization: 25.93 μB/cell

Cell and atoms, written as CIF:
```
data_Ho3Np3AlN8
_chemical_formula_sum 'Ho9 Np9 Al3 N24'
_cell_length_a 6.6648
_cell_length_b 6.6648
_cell_length_c 16.7891
_cell_angle_alpha 90.00
_cell_angle_beta 90.00
_cell_angle_gamma 120.00
_space_group_name_H-M_alt 'R -3 m'
_space_group_IT_number 166
_space_group_name_Hall '-R 3 2"'
loop_
_atom_site_label
_atom_site_type_symbol
_atom_site_fract_x
_atom_site_fract_y
_atom_site_fract_z
Ho1 Ho 0.0000 0.5000 0.0000
Np1 Np 0.0000 0.5000 0.5000
Al1 Al 0.0000 0.0000 0.5000
N1 N 0.0000 0.0000 0.2515
N2 N 0.0213 0.5106 0.2374
```